[1]
Sm4TlGeSe2: optimized geometry, GGA-PBE.

Symmetry: No. 119
Formation energy from raw total energies in kJ per mole of atoms: -116

Unit cell a=6.0439 b=6.0439 c=7.4108 alpha=114.07 beta=114.06 gamma=90.00
Atoms (fractional coordinates):
Sm 0.9988 0.4988 0.9975
Sm 0.5012 0.0012 0.0025
Sm 0.7590 0.7590 0.5180
Sm 0.2410 0.2410 0.4820
Tl 0.5000 0.5000 0.0000
Ge 0.7500 0.2500 0.5000
Se 0.2500 0.7500 0.5000
Se 0.0000 0.0000 0.0000

***

[2]
Sm3Tl3GeSe8: optimized geometry, GGA-PBE.

Symmetry: No. 12
Formation energy from raw total energies in kJ per mole of atoms: -103

Unit cell a=8.3645 b=8.3675 c=9.1555 alpha=117.20 beta=89.97 gamma=119.99
Atoms (fractional coordinates):
Sm 0.5000 0.0000 0.5000
Sm 0.5000 0.5000 0.5000
Sm 0.0000 0.5000 0.5000
Tl 0.0000 0.0000 0.0000
Tl 0.0000 0.5000 0.0000
Tl 0.5000 0.5000 0.0000
Ge 0.0000 0.0000 0.5000
Se 0.2629 0.5257 0.2884
Se 0.7371 0.4743 0.7116
Se 0.7823 0.5645 0.3047
Se 0.2177 0.4355 0.6953
Se 0.7823 0.0225 0.3048
Se 0.2177 0.9775 0.6952
Se 0.2402 0.0225 0.3048
Se 0.7598 0.9775 0.6952

***

[3]
SmTlGeSe4: optimized geometry, GGA-PBE.

Symmetry: No. 11
Formation energy from raw total energies in kJ per mole of atoms: -87

Unit cell a=6.8580 b=6.9923 c=9.0139 alpha=90.00 beta=107.08 gamma=90.00
Atoms (fractional coordinates):
Sm 0.7676 0.7500 0.4443
Sm 0.2324 0.2500 0.5557
Tl 0.7526 0.7500 0.9355
Tl 0.2474 0.2500 0.0645
Ge 0.2248 0.7500 0.3205
Ge 0.7752 0.2500 0.6795
Se 0.0086 0.5112 0.7185
Se 0.9914 0.0112 0.2815
Se 0.9914 0.4888 0.2815
Se 0.0086 0.9888 0.7185
Se 0.4279 0.7500 0.1512
Se 0.5721 0.2500 0.8488
Se 0.4268 0.7500 0.5848
Se 0.5732 0.2500 0.4152

***

[4]
Sm6TlGe2Se3: optimized geometry, GGA-PBE.

Symmetry: No. 12
Formation energy from raw total energies in kJ per mole of atoms: -122

Unit cell a=4.2338 b=8.6015 c=9.5957 alpha=105.30 beta=102.74 gamma=90.00
Atoms (fractional coordinates):
Sm 0.3280 0.9093 0.6561
Sm 0.6701 0.5732 0.3403
Sm 0.6720 0.0907 0.3439
Sm 0.0004 0.2657 0.0009
Sm 0.9996 0.7343 0.9991
Sm 0.3299 0.4268 0.6597
Tl 0.5000 0.0000 0.0000
Ge 0.8352 0.6720 0.6703
Ge 0.1648 0.3280 0.3297
Se 0.5000 0.5000 0.0000
Se 0.8334 0.1707 0.6669
Se 0.1666 0.8293 0.3331

***

[5]
SmYGeSe: optimized geometry, GGA-PBE.

Symmetry: No. 160
Formation energy from raw total energies in kJ per mole of atoms: -135

Unit cell a=4.1770 b=4.1770 c=7.2849 alpha=73.34 beta=73.34 gamma=60.00
Atoms (fractional coordinates):
Sm 0.4482 0.4482 0.6555
Y 0.9404 0.9404 0.1786
Ge 0.1956 0.1956 0.4131
Se 0.6922 0.6922 0.9235

***

[6]
Sn2GeSe3: optimized geometry, GGA-PBE.

Symmetry: No. 71
Formation energy from raw total energies in kJ per mole of atoms: -34

Unit cell a=4.1763 b=5.9390 c=7.2836 alpha=114.06 beta=106.66 gamma=90.00
Atoms (fractional coordinates):
Sn 0.1679 0.6679 0.3359
Sn 0.8321 0.3321 0.6641
Ge 0.5000 0.0000 0.0000
Se 0.5000 0.5000 0.0000
Se 0.1553 0.1553 0.3106
Se 0.8447 0.8447 0.6894

***

[7]
Sn3Ge5Se12: optimized geometry, GGA-PBE.

Symmetry: No. 230
Formation energy from raw total energies in kJ per mole of atoms: -19

Unit cell a=14.0799 b=14.0799 c=14.0799 alpha=109.47 beta=109.47 gamma=109.47
Atoms (fractional coordinates):
Sn 0.7500 0.3750 0.1250
Sn 0.8750 0.7500 0.1250
Sn 0.3750 0.7500 0.6250
Sn 0.2500 0.1250 0.3750
Sn 0.8750 0.1250 0.2500
Sn 0.3750 0.6250 0.2500
Sn 0.6250 0.3750 0.7500
Sn 0.1250 0.8750 0.7500
Sn 0.7500 0.8750 0.6250
Sn 0.6250 0.2500 0.3750
Sn 0.1250 0.2500 0.8750
Sn 0.2500 0.6250 0.8750
Ge 0.1250 0.3750 0.2500
Ge 0.0000 0.5000 0.0000
Ge 0.0000 0.0000 0.0000
Ge 0.3750 0.2500 0.1250
Ge 0.5000 0.0000 0.5000
Ge 0.5000 0.5000 0.0000
Ge 0.1250 0.7500 0.3750
Ge 0.7500 0.1250 0.8750
Ge 0.7500 0.6250 0.3750
Ge 0.3750 0.1250 0.7500
Ge 0.6250 0.8750 0.2500
Ge 0.5000 0.5000 0.5000
Ge 0.5000 0.0000 0.0000
Ge 0.0000 0.0000 0.5000
Ge 0.2500 0.3750 0.6250
Ge 0.2500 0.8750 0.1250
Ge 0.0000 0.5000 0.5000
Ge 0.8750 0.2500 0.6250
Ge 0.6250 0.7500 0.8750
Ge 0.8750 0.6250 0.7500
Se 0.7125 0.1226 0.0305
Se 0.3179 0.5305 0.4078
Se 0.9695 0.3774 0.2875
Se 0.5305 0.2125 0.1226
Se 0.5899 0.7125 0.6821
Se 0.9695 0.5922 0.1821
Se 0.3179 0.7875 0.4101
Se 0.0922 0.9101 0.1226
Se 0.5922 0.9695 0.6821
Se 0.7125 0.5899 0.1821
Se 0.7875 0.4695 0.3774
Se 0.8179 0.9078 0.0305
Se 0.1226 0.7125 0.5305
Se 0.3774 0.4078 0.0899
Se 0.0899 0.9078 0.3774
Se 0.4101 0.1226 0.5922
Se 0.0899 0.1821 0.2125
Se 0.4695 0.6821 0.0922
Se 0.8179 0.9101 0.2875
Se 0.1226 0.4101 0.0922
Se 0.3774 0.9695 0.7875
Se 0.5922 0.6226 0.4101
Se 0.9078 0.8179 0.5305
Se 0.7875 0.3179 0.9101
Se 0.4078 0.3774 0.5899
Se 0.0922 0.1821 0.4695
Se 0.2125 0.6821 0.0899
Se 0.1821 0.0899 0.7125
Se 0.6226 0.0305 0.2125
Se 0.8774 0.5899 0.9078
Se 0.5305 0.3179 0.9078
Se 0.5899 0.8774 0.4078
Se 0.9101 0.8179 0.7875
Se 0.9101 0.0922 0.6226
Se 0.8774 0.2875 0.4695
Se 0.1821 0.0922 0.9695
Se 0.6226 0.5922 0.9101
Se 0.4078 0.0305 0.3179
Se 0.2875 0.4101 0.8179
Se 0.2125 0.5305 0.6226
Se 0.9078 0.0899 0.8774
Se 0.6821 0.2125 0.5899
Se 0.4695 0.7875 0.8774
Se 0.0305 0.4078 0.8179
Se 0.4101 0.2875 0.3179
Se 0.0305 0.6226 0.7125
Se 0.6821 0.4695 0.5922
Se 0.2875 0.8774 0.9695

***

[8]
SnGe2Se2: optimized geometry, GGA-PBE.

Offset from the most stable computed form in meV per atom: 8
Symmetry: No. 127
Formation energy from raw total energies in kJ per mole of atoms: 3

Unit cell a=8.0337 b=8.0337 c=3.7912 alpha=90.00 beta=90.00 gamma=90.00
Atoms (fractional coordinates):
Ge 0.3299 0.8299 0.0000
Ge 0.8299 0.6701 0.0000
Ge 0.6701 0.1701 0.0000
Ge 0.1701 0.3299 0.0000
Sn 0.0000 0.0000 0.0000
Sn 0.5000 0.5000 0.0000
Se 0.1754 0.6754 0.5000
Se 0.6754 0.8246 0.5000
Se 0.8246 0.3246 0.5000
Se 0.3246 0.1754 0.5000

***

[9]
SnGeSe3: optimized geometry, GGA-PBE.

Symmetry: No. 2
Formation energy from raw total energies in kJ per mole of atoms: -20

Unit cell a=3.7443 b=6.2773 c=13.1230 alpha=72.33 beta=89.98 gamma=73.49
Atoms (fractional coordinates):
Sn 0.8243 0.9388 0.1843
Sn 0.8639 0.8220 0.8748
Ge 0.0980 0.3636 0.7266
Ge 0.5902 0.3971 0.3325
Se 0.2442 0.0904 0.3612
Se 0.4732 0.6285 0.1406
Se 0.2149 0.1324 0.9185
Se 0.7232 0.1281 0.6643
Se 0.4440 0.6703 0.6978
Se 0.9651 0.6324 0.3948

***

[10]
SnGe2Se6: optimized geometry, GGA-PBE.

Symmetry: No. 15
Formation energy from raw total energies in kJ per mole of atoms: -23

Unit cell a=6.3553 b=9.7348 c=9.7348 alpha=91.00 beta=72.99 gamma=72.99
Atoms (fractional coordinates):
Sn 0.2500 0.1987 0.8013
Sn 0.7500 0.8013 0.1987
Ge 0.1613 0.6305 0.7902
Ge 0.3387 0.2098 0.3695
Ge 0.8387 0.3695 0.2098
Ge 0.6613 0.7902 0.6305
Se 0.3624 0.7193 0.5767
Se 0.1376 0.4233 0.2807
Se 0.6376 0.2807 0.4233
Se 0.8624 0.5767 0.7193
Se 0.8999 0.8445 0.4094
Se 0.6001 0.5906 0.1555
Se 0.1001 0.1555 0.5906
Se 0.3999 0.4094 0.8445
Se 0.0957 0.8144 0.9789
Se 0.4043 0.0211 0.1856
Se 0.9043 0.1856 0.0211
Se 0.5957 0.9789 0.8144

***

[11]
Sn5Ge3Se12: optimized geometry, GGA-PBE.

Symmetry: No. 230
Formation energy from raw total energies in kJ per mole of atoms: -16

Unit cell a=14.3646 b=14.3646 c=14.3646 alpha=109.47 beta=109.47 gamma=109.47
Atoms (fractional coordinates):
Ge 0.7500 0.3750 0.1250
Ge 0.8750 0.7500 0.1250
Ge 0.3750 0.7500 0.6250
Ge 0.2500 0.1250 0.3750
Ge 0.8750 0.1250 0.2500
Ge 0.3750 0.6250 0.2500
Ge 0.6250 0.3750 0.7500
Ge 0.1250 0.8750 0.7500
Ge 0.7500 0.8750 0.6250
Ge 0.6250 0.2500 0.3750
Ge 0.1250 0.2500 0.8750
Ge 0.2500 0.6250 0.8750
Sn 0.1250 0.3750 0.2500
Sn 0.0000 0.5000 0.0000
Sn 0.0000 0.0000 0.0000
Sn 0.3750 0.2500 0.1250
Sn 0.5000 0.0000 0.5000
Sn 0.5000 0.5000 0.0000
Sn 0.1250 0.7500 0.3750
Sn 0.7500 0.1250 0.8750
Sn 0.7500 0.6250 0.3750
Sn 0.3750 0.1250 0.7500
Sn 0.6250 0.8750 0.2500
Sn 0.5000 0.5000 0.5000
Sn 0.5000 0.0000 0.0000
Sn 0.0000 0.0000 0.5000
Sn 0.2500 0.3750 0.6250
Sn 0.2500 0.8750 0.1250
Sn 0.0000 0.5000 0.5000
Sn 0.8750 0.2500 0.6250
Sn 0.6250 0.7500 0.8750
Sn 0.8750 0.6250 0.7500
Se 0.7228 0.1343 0.0468
Se 0.3239 0.5468 0.4125
Se 0.9532 0.3657 0.2772
Se 0.5468 0.2228 0.1343
Se 0.5885 0.7228 0.6761
Se 0.9532 0.5875 0.1761
Se 0.3239 0.7772 0.4115
Se 0.0875 0.9115 0.1343
Se 0.5875 0.9532 0.6761
Se 0.7228 0.5885 0.1761
Se 0.7772 0.4532 0.3657
Se 0.8239 0.9125 0.0468
Se 0.1343 0.7228 0.5468
Se 0.3657 0.4125 0.0885
Se 0.0885 0.9125 0.3657
Se 0.4115 0.1343 0.5875
Se 0.0885 0.1761 0.2228
Se 0.4532 0.6761 0.0875
Se 0.8239 0.9115 0.2772
Se 0.1343 0.4115 0.0875
Se 0.3657 0.9532 0.7772
Se 0.5875 0.6343 0.4115
Se 0.9125 0.8239 0.5468
Se 0.7772 0.3239 0.9115
Se 0.4125 0.3657 0.5885
Se 0.0875 0.1761 0.4532
Se 0.2228 0.6761 0.0885
Se 0.1761 0.0885 0.7228
Se 0.6343 0.0468 0.2228
Se 0.8657 0.5885 0.9125
Se 0.5468 0.3239 0.9125
Se 0.5885 0.8657 0.4125
Se 0.9115 0.8239 0.7772
Se 0.9115 0.0875 0.6343
Se 0.8657 0.2772 0.4532
Se 0.1761 0.0875 0.9532
Se 0.6343 0.5875 0.9115
Se 0.4125 0.0468 0.3239
Se 0.2772 0.4115 0.8239
Se 0.2228 0.5468 0.6343
Se 0.9125 0.0885 0.8657
Se 0.6761 0.2228 0.5885
Se 0.4532 0.7772 0.8657
Se 0.0468 0.4125 0.8239
Se 0.4115 0.2772 0.3239
Se 0.0468 0.6343 0.7228
Se 0.6761 0.4532 0.5875
Se 0.2772 0.8657 0.9532

***

[12]
SnGe2Se2: optimized geometry, GGA-PBE.

Offset from the most stable computed form in meV per atom: 29
Symmetry: No. 139
Formation energy from raw total energies in kJ per mole of atoms: 5

Unit cell a=3.7615 b=3.7615 c=8.6998 alpha=77.51 beta=77.51 gamma=90.00
Atoms (fractional coordinates):
Ge 0.7500 0.2500 0.5000
Ge 0.2500 0.7500 0.5000
Sn 0.0000 0.0000 0.0000
Se 0.3952 0.3952 0.2096
Se 0.6048 0.6048 0.7904

***

Look up the formation energy from raw total energies of the sixth one.
-34 kJ per mole of atoms

***

The highest formation energy from raw total energies belongs to which entry?
number 12

***

What did the sixth record say?
Sn2GeSe3: optimized geometry, GGA-PBE.

Symmetry: No. 71
Formation energy from raw total energies in kJ per mole of atoms: -34

Unit cell a=4.1763 b=5.9390 c=7.2836 alpha=114.06 beta=106.66 gamma=90.00
Atoms (fractional coordinates):
Sn 0.1679 0.6679 0.3359
Sn 0.8321 0.3321 0.6641
Ge 0.5000 0.0000 0.0000
Se 0.5000 0.5000 0.0000
Se 0.1553 0.1553 0.3106
Se 0.8447 0.8447 0.6894

***

Which value of formation energy from raw total energies does entry 5 give?
-135 kJ per mole of atoms